Entry 1:
Density functional theory data (GGA-PBE) for an optimized crystal structure of BaNaGaHg.

**Magnetic moment**: 0.00 μB per formula unit
**DFT formation energy**: -242 meV per atom
**Energy**: -0.069 hartree per atom
**N(E_F)**: 3.6 states/eV/cell
**Space group**: F-43m

Cell: 5.5758 5.5758 5.5758 Å, 60.00 60.00 60.00°
Fractional coordinates of all 4 atoms:
Ba1 0.0000 0.0000 0.0000
Na1 0.5000 0.5000 0.5000
Ga1 0.7500 0.7500 0.7500
Hg1 0.2500 0.2500 0.2500

Entry 2:
Density functional theory data (GGA-PBE) for an optimized crystal structure of BaNb2GaHg.

**Magnetic moment**: 3.28 μB per formula unit
**DFT formation energy**: 964 meV per atom
**Energy**: -0.151 hartree per atom
**N(E_F)**: 6.0 states/eV/cell
**Space group**: P4/mmm

Cell: 4.9861 4.9861 6.0245 Å, 90.00 90.00 90.00°
Fractional coordinates of all 5 atoms:
Ba1 0.0000 0.0000 0.0000
Nb1 0.0000 0.5000 0.5000
Nb2 0.5000 0.0000 0.5000
Ga1 0.0000 0.0000 0.5000
Hg1 0.5000 0.5000 0.0000

Entry 3:
Density functional theory data (GGA-PBE) for an optimized crystal structure of BaGaNiHg2.

**Magnetic moment**: 0.00 μB per formula unit
**DFT formation energy**: -297 meV per atom
**Energy**: -0.094 hartree per atom
**N(E_F)**: 3.0 states/eV/cell
**Space group**: P4/mmm

Cell: 5.1803 5.1803 4.7321 Å, 90.00 90.00 90.00°
Fractional coordinates of all 5 atoms:
Ba1 0.0000 0.0000 0.0000
Ga1 0.5000 0.5000 0.0000
Ni1 0.5000 0.5000 0.5000
Hg1 0.0000 0.5000 0.5000
Hg2 0.5000 0.0000 0.5000

Entry 4:
Density functional theory data (GGA-PBE) for an optimized crystal structure of BaGa2NiHg.

**Magnetic moment**: 0.00 μB per formula unit
**DFT formation energy**: -311 meV per atom
**Energy**: -0.115 hartree per atom
**N(E_F)**: 2.5 states/eV/cell
**Space group**: P4/mmm

Cell: 4.7764 4.7764 5.1690 Å, 90.00 90.00 90.00°
Fractional coordinates of all 5 atoms:
Ba1 0.0000 0.0000 0.0000
Ga1 0.0000 0.5000 0.5000
Ga2 0.5000 0.0000 0.5000
Ni1 0.5000 0.5000 0.5000
Hg1 0.5000 0.5000 0.0000

Entry 5:
Density functional theory data (GGA-PBE) for an optimized crystal structure of Ba2GaNiHg.

**Magnetic moment**: 0.00 μB per formula unit
**DFT formation energy**: -289 meV per atom
**Energy**: -0.106 hartree per atom
**N(E_F)**: 4.5 states/eV/cell
**Space group**: P4/mmm

Cell: 5.9864 5.9864 4.6425 Å, 90.00 90.00 90.00°
Fractional coordinates of all 5 atoms:
Ba1 0.0000 0.5000 0.0000
Ba2 0.5000 0.0000 0.0000
Ga1 0.0000 0.0000 0.5000
Ni1 0.0000 0.0000 0.0000
Hg1 0.5000 0.5000 0.5000

Entry 6:
Density functional theory data (GGA-PBE) for an optimized crystal structure of Ba2GaHgO4.

**Magnetic moment**: 0.00 μB per formula unit
**Energy**: -0.188 hartree per atom
**N(E_F)**: 3.6 states/eV/cell
**Uncorrected formation energy**: -1749 meV per atom
**Space group**: I-4

Cell: 6.3552 6.3552 6.3552 Å, 125.76 125.76 80.28°
Fractional coordinates of all 8 atoms:
Ba1 0.0000 0.0000 0.0000
Ba2 0.7500 0.2500 0.5000
Ga1 0.2500 0.7500 0.5000
Hg1 0.5000 0.5000 0.0000
O1 0.1520 0.0489 0.5004
O2 0.3484 0.8480 0.8970
O3 0.5485 0.6516 0.4996
O4 0.9511 0.4515 0.1030

Entry 7:
Density functional theory data (GGA-PBE) for an optimized crystal structure of BaGaHg2O.

**Magnetic moment**: 0.00 μB per formula unit
**Energy**: -0.045 hartree per atom
**N(E_F)**: 18.9 states/eV/cell
**Uncorrected formation energy**: 872 meV per atom
**Space group**: P4/mmm

Cell: 6.5754 6.5754 6.5246 Å, 90.00 90.00 90.00°
Fractional coordinates of all 5 atoms:
Ba1 0.0000 0.0000 0.0000
Ga1 0.0000 0.0000 0.5000
Hg1 0.0000 0.5000 0.0000
Hg2 0.5000 0.0000 0.0000
O1 0.5000 0.5000 0.5000

Entry 8:
Density functional theory data (GGA-PBE) for an optimized crystal structure of BaGaHgPb2.

**Magnetic moment**: 0.00 μB per formula unit
**DFT formation energy**: -136 meV per atom
**Energy**: -0.098 hartree per atom
**N(E_F)**: 1.8 states/eV/cell
**Space group**: P4/mmm

Cell: 5.5535 5.5535 5.5899 Å, 90.00 90.00 90.00°
Fractional coordinates of all 5 atoms:
Ba1 0.0000 0.0000 0.0000
Ga1 0.5000 0.5000 0.5000
Hg1 0.5000 0.5000 0.0000
Pb1 0.0000 0.5000 0.5000
Pb2 0.5000 0.0000 0.5000

Repeat the fifth record exactly.
Density functional theory data (GGA-PBE) for an optimized crystal structure of Ba2GaNiHg.

**Magnetic moment**: 0.00 μB per formula unit
**DFT formation energy**: -289 meV per atom
**Energy**: -0.106 hartree per atom
**N(E_F)**: 4.5 states/eV/cell
**Space group**: P4/mmm

Cell: 5.9864 5.9864 4.6425 Å, 90.00 90.00 90.00°
Fractional coordinates of all 5 atoms:
Ba1 0.0000 0.5000 0.0000
Ba2 0.5000 0.0000 0.0000
Ga1 0.0000 0.0000 0.5000
Ni1 0.0000 0.0000 0.0000
Hg1 0.5000 0.5000 0.5000